Entry from OQMD: a geometry-optimized Cs2NbTlI6 structure (PBE-GGA).

a b c (Å): 8.4677 8.4677 8.4677
angles (deg): 64.52 64.52 64.52
Closest atoms and distances in Å follow each position.
Fractional positions:
1 Cs 0.2558 0.2558 0.2558  6 I 3.88-4.19
2 Cs 0.7433 0.7433 0.7433  6 I 3.88-4.21
3 I 0.7929 0.2994 0.1549  1 Nb 2.88
4 I 0.7004 0.8447 0.2071  1 Nb 2.88
5 I 0.1549 0.7929 0.2994  1 Nb 2.88
6 I 0.8447 0.2071 0.7004  1 Nb 2.88
7 I 0.2994 0.1549 0.7929  1 Nb 2.88
8 I 0.2071 0.7004 0.8447  1 Nb 2.88
9 Nb 0.9999 0.9999 0.9999  6 I 2.88
10 Tl 0.4997 0.4997 0.4997  6 I 3.46

* raw total energy: -32.4 eV per formula unit
* size of the total moment: 2.00 Bohr magnetons per cell
* symmetry: R3, No. 146